No. 1
This record from Alexandria via LeMat-Bulk describes an optimized crystal structure of Pb2Cl3. The functional is PBE-GGA.

Its density of states at the Fermi level is 3.03 states/eV per cell. As for the space group: R-3m (166). For the formation energy without anion corrections, the calculation gives -0.7989 eV per atom.

a = 11.6449 Å, b = 11.6449 Å, c = 11.6449 Å
α = 19.57°, β = 19.57°, γ = 19.57°
Fractional coordinates of all 5 atoms:
Pb 0.3992 0.3992 0.3992
Pb 0.6008 0.6008 0.6008
Cl 0.7854 0.7854 0.7854
Cl 0.2146 0.2146 0.2146
Cl 0.0000 0.0000 0.0000

***

No. 2
This record from Alexandria via LeMat-Bulk describes an optimized crystal structure of Pb4Cl. The functional is PBE-GGA.

Its density of states at the Fermi level is 1.97 states/eV per cell. The calculation puts the offset from the most stable computed form at 0 meV per atom. As for the space group: Im-3m (229). For the formation energy without anion corrections, the calculation gives 0.1305 eV per atom.

a = 6.0640 Å, b = 6.0640 Å, c = 6.0640 Å
α = 109.47°, β = 109.47°, γ = 109.47°
Fractional coordinates of all 5 atoms:
Pb 0.5000 0.5000 0.5000
Pb 0.5000 0.0000 0.0000
Pb 0.0000 0.5000 0.0000
Pb 0.0000 0.0000 0.5000
Cl 0.0000 0.0000 0.0000

***

No. 3
This record from Alexandria via LeMat-Bulk describes an optimized crystal structure of PbCl3. The functional is PBE-GGA.

Its density of states at the Fermi level is 2.69 states/eV per cell. As for the space group: Cmcm (63). For the formation energy without anion corrections, the calculation gives -0.6591 eV per atom.

a = 9.4930 Å, b = 9.4930 Å, c = 5.8642 Å
α = 90.00°, β = 90.00°, γ = 148.69°
Each line ends with the local moment (μB).
Fractional coordinates of all 8 atoms:
Cl 0.4381 0.0609 0.2500  0.10
Cl 0.9391 0.5619 0.2500  0.10
Cl 0.0884 0.9116 0.7500  0.00
Cl 0.9116 0.0884 0.2500  0.00
Cl 0.0609 0.4381 0.7500  0.10
Cl 0.5619 0.9391 0.7500  0.10
Pb 0.6586 0.3414 0.7500  0.00
Pb 0.3414 0.6586 0.2500  0.00

***

No. 4
This record from Alexandria via LeMat-Bulk describes an optimized crystal structure of Pb4Cl. The functional is PBE-GGA.

Its density of states at the Fermi level is 3.40 states/eV per cell. The calculation puts the offset from the most stable computed form at 29 meV per atom. As for the space group: Pm-3m (221). For the formation energy without anion corrections, the calculation gives 0.1592 eV per atom.

a = 5.6071 Å, b = 5.6071 Å, c = 5.6071 Å
α = 90.00°, β = 90.00°, γ = 90.00°
Fractional coordinates of all 5 atoms:
Pb 0.5000 0.0000 0.5000
Pb 0.0000 0.5000 0.5000
Pb 0.5000 0.5000 0.0000
Pb 0.0000 0.0000 0.0000
Cl 0.5000 0.5000 0.5000

***

No. 5
This record from Alexandria via LeMat-Bulk describes an optimized crystal structure of Pb3Cl. The functional is PBE-GGA.

Its density of states at the Fermi level is 1.06 states/eV per cell. The calculation puts the offset from the most stable computed form at 52 meV per atom. As for the space group: Cmmm (65). For the formation energy without anion corrections, the calculation gives -0.2434 eV per atom.

a = 5.8283 Å, b = 5.8283 Å, c = 3.5141 Å
α = 90.00°, β = 90.00°, γ = 90.23°
Fractional coordinates of all 4 atoms:
Pb 0.5000 0.5000 0.0000
Pb 0.0000 0.5000 0.5000
Pb 0.5000 0.0000 0.5000
Cl 0.0000 0.0000 0.0000

***

No. 6
This record from Alexandria via LeMat-Bulk describes an optimized crystal structure of Pb2Cl. The functional is PBE-GGA.

Its density of states at the Fermi level is 3.56 states/eV per cell. The calculation puts the offset from the most stable computed form at 26 meV per atom. As for the space group: Pnma (62). For the formation energy without anion corrections, the calculation gives -0.3641 eV per atom.

a = 5.5974 Å, b = 5.9144 Å, c = 11.4760 Å
α = 90.00°, β = 90.00°, γ = 90.00°
Fractional coordinates of all 12 atoms:
Pb 0.2500 0.1105 0.5305
Pb 0.7500 0.3908 0.3227
Pb 0.2500 0.6092 0.6773
Pb 0.2500 0.6105 0.9695
Pb 0.2500 0.1092 0.8227
Pb 0.7500 0.8908 0.1773
Pb 0.7500 0.8895 0.4695
Pb 0.7500 0.3895 0.0305
Cl 0.2500 0.0265 0.1465
Cl 0.7500 0.4735 0.6465
Cl 0.2500 0.5265 0.3535
Cl 0.7500 0.9735 0.8535